RbNiO2 | PBE with a Hubbard U | optimized geometry

a = 4.263 Å, b = 4.263 Å, c = 4.263 Å
α = 60.00°, β = 60.00°, γ = 60.00°
Element x y z (fractional)
Rb  0.000  0.000  0.000
Ni  0.500  0.500  0.500
O  0.250  0.250  0.250
O  0.750  0.750  0.750

The calculation puts the volume at 54.8 Å³/cell. As for the total magnetization: 0.750 μB per atom. Its raw total energy is -12.11 eV per cell. Its crystal system is cubic.